Zr4CdGaN2 after structural relaxation, computed with PBE-GGA.

Cell and atoms, written as extended XYZ:
```
8
Lattice="3.290 0.000 0.000 -1.645 2.849 0.000 0.000 0.000 14.451" Properties=species:S:1:pos:R:3 pbc="T T T"
Zr 0.000 0.000 2.238
Zr 0.000 0.000 12.213
Zr 0.000 1.899 4.737
Zr 0.000 1.899 9.714
Cd 0.000 0.000 7.226
Ga 0.000 1.899 0.000
N 1.645 0.950 3.512
N 1.645 0.950 10.940
```

Final energy = -7.892 eV per atom
Space group = P-6m2, No. 187

---

Na4Cd3Ga after structural relaxation, computed with PBE-GGA.

Cell and atoms, written as extended XYZ:
```
8
Lattice="5.120 0.000 0.000 0.000 5.120 0.000 0.000 0.000 7.272" Properties=species:S:1:pos:R:3 pbc="T T T"
Na 0.000 0.000 0.000
Na 0.000 2.560 5.395
Na 2.560 0.000 1.877
Na 2.560 2.560 3.636
Cd 0.000 2.560 1.910
Cd 2.560 0.000 5.362
Cd 2.560 2.560 0.000
Ga 0.000 0.000 3.636
```

Final energy = -1.467 eV per atom
Space group = P-4m2, No. 115

---

Na4Cd2GaPb after structural relaxation, computed with PBE-GGA.

Cell and atoms, written as extended XYZ:
```
8
Lattice="5.149 0.000 0.000 0.000 5.149 0.000 0.000 0.000 7.365" Properties=species:S:1:pos:R:3 pbc="T T T"
Na 0.000 0.000 0.000
Na 0.000 2.575 1.761
Na 2.575 0.000 5.605
Na 2.575 2.575 3.683
Cd 0.000 2.575 5.650
Cd 2.575 0.000 1.716
Ga 2.575 2.575 0.000
Pb 0.000 0.000 3.683
```

Final energy = -1.849 eV per atom
Space group = P-4m2, No. 115

---

Na4CdGaPd2 after structural relaxation, computed with PBE-GGA.

Cell and atoms, written as extended XYZ:
```
8
Lattice="4.799 0.000 0.000 0.000 4.799 0.000 0.000 0.000 6.850" Properties=species:S:1:pos:R:3 pbc="T T T"
Na 0.000 0.000 0.000
Na 0.000 2.399 1.671
Na 2.399 0.000 5.179
Na 2.399 2.399 3.425
Cd 0.000 0.000 3.425
Ga 2.399 2.399 0.000
Pd 0.000 2.399 5.309
Pd 2.399 0.000 1.541
```

Final energy = -2.602 eV per atom
Space group = P-4m2, No. 115

---

Na4CdGaPt2 after structural relaxation, computed with PBE-GGA.

Cell and atoms, written as extended XYZ:
```
8
Lattice="4.715 0.000 0.000 0.000 4.715 0.000 0.000 0.000 6.879" Properties=species:S:1:pos:R:3 pbc="T T T"
Na 0.000 0.000 0.000
Na 0.000 2.357 5.106
Na 2.357 0.000 1.774
Na 2.357 2.357 3.440
Cd 2.357 2.357 0.000
Ga 0.000 0.000 3.440
Pt 0.000 2.357 1.883
Pt 2.357 0.000 4.996
```

Final energy = -2.875 eV per atom
Space group = P-4m2, No. 115

---

Na4Cd2GaSn after structural relaxation, computed with PBE-GGA.

Cell and atoms, written as extended XYZ:
```
8
Lattice="5.071 0.000 0.000 0.000 5.071 0.000 0.000 0.000 7.244" Properties=species:S:1:pos:R:3 pbc="T T T"
Na 0.000 0.000 0.000
Na 0.000 2.536 5.357
Na 2.536 0.000 1.887
Na 2.536 2.536 3.622
Cd 0.000 2.536 1.894
Cd 2.536 0.000 5.350
Ga 0.000 0.000 3.622
Sn 2.536 2.536 0.000
```

Final energy = -1.901 eV per atom
Space group = P-4m2, No. 115